(1)
## Pr2TmTe4 (PBE-GGA)

Data for a geometry-optimized Pr2TmTe4 structure.

Cell and atoms, written as POSCAR:
```
Pr2TmTe4
1.0
9.1571 0.0000 0.0000
0.0000 12.5687 0.0000
0.0000 0.0000 4.4259
Pr Tm Te
4 2 8
direct
0.2500 0.2500 0.0000
0.2500 0.7500 0.0000
0.7500 0.2500 0.0000
0.7500 0.7500 0.0000
0.0000 0.0000 0.5000
0.5000 0.5000 0.5000
0.0000 0.2495 0.5000
0.0000 0.7505 0.5000
0.2353 0.0000 0.0000
0.2647 0.5000 0.0000
0.5000 0.2505 0.5000
0.5000 0.7495 0.5000
0.7353 0.5000 0.0000
0.7647 0.0000 0.0000
```

Raw total energy: -36.6 eV/f.u.
Magnetization: 0.000 μB per atom
ΔE_f (raw): -1435 meV per atom

(2)
## ZrSc2Ta (PBE-GGA)

Data for a geometry-optimized ZrSc2Ta structure.

Cell and atoms, written as POSCAR:
```
ZrSc2Ta
1.0
3.6767 0.0000 0.0000
0.0000 3.6767 0.0000
0.0000 0.0000 6.4210
Zr Sc Ta
1 2 1
direct
0.0000 0.0000 0.0000
0.5000 0.5000 0.2727
0.5000 0.5000 0.7273
0.0000 0.0000 0.5000
```

Raw total energy: -32.1 eV/f.u.
Magnetization: 0.000 μB per atom
Formation energy: 250 meV/atom

(3)
## Te2OsAu (PBE-GGA)

Data for a geometry-optimized Te2OsAu structure.

Cell and atoms, written as POSCAR:
```
Te2OsAu
1.0
3.1897 0.0000 0.0000
0.0000 4.3915 0.0000
0.0000 0.0000 13.0462
Te Os Au
4 2 2
direct
0.0000 0.0000 0.0000
0.0000 0.5000 0.2192
0.5000 0.0000 0.7192
0.5000 0.5000 0.5000
0.0000 0.0000 0.5563
0.5000 0.5000 0.0563
0.0000 0.5000 0.8505
0.5000 0.0000 0.3505
```

Raw total energy: -18.8 eV/f.u.
Magnetization: 0.000 μB per atom
ΔE_f (raw): 507 meV per atom